(1)
The following is a DFT calculation (PBE) of a relaxed structure of ZnAg3Pd12.

uncorrected energy: -4.5934 eV/atom
SG: P4/mmm (123)

abc: 3.9926 3.9926 15.7320
angles: 90.00 90.00 90.00
Sites, in units of the cell vectors:
Zn: 0.0000 0.0000 0.0000
Ag: 0.0000 0.0000 0.2461
Ag: 0.0000 0.0000 0.5000
Ag: 0.0000 0.0000 0.7539
Pd: 0.0000 0.5000 0.1189
Pd: 0.0000 0.5000 0.3731
Pd: 0.0000 0.5000 0.6269
Pd: 0.0000 0.5000 0.8811
Pd: 0.5000 0.0000 0.1189
Pd: 0.5000 0.0000 0.3731
Pd: 0.5000 0.0000 0.6269
Pd: 0.5000 0.0000 0.8811
Pd: 0.5000 0.5000 0.0000
Pd: 0.5000 0.5000 0.2464
Pd: 0.5000 0.5000 0.5000
Pd: 0.5000 0.5000 0.7536

(2)
The following is a DFT calculation (PBE) of a relaxed structure of Zn12Ag5Pd2.

uncorrected energy: -2.0917 eV/atom
SG: C2/m (12)

abc: 7.1983 7.1983 9.4868
angles: 101.48 101.48 44.09
Sites, in units of the cell vectors:
Zn: 0.0085 0.0085 0.2517
Zn: 0.0832 0.5777 0.8146
Zn: 0.0932 0.6136 0.3336
Zn: 0.3864 0.9068 0.6664
Zn: 0.4223 0.9168 0.1854
Zn: 0.4885 0.4885 0.2212
Zn: 0.5115 0.5115 0.7788
Zn: 0.5777 0.0832 0.8146
Zn: 0.6136 0.0932 0.3336
Zn: 0.9068 0.3864 0.6664
Zn: 0.9168 0.4223 0.1854
Zn: 0.9915 0.9915 0.7483
Ag: 0.1927 0.1927 0.9417
Ag: 0.2099 0.2099 0.4480
Ag: 0.5000 0.5000 0.5000
Ag: 0.7901 0.7901 0.5520
Ag: 0.8073 0.8073 0.0583
Pd: 0.2456 0.7544 0.0000
Pd: 0.7544 0.2456 0.0000

(3)
The following is a DFT calculation (PBE) of a relaxed structure of Zn2Ag3Pd8.

uncorrected energy: -4.1381 eV/atom
SG: C2/m (12)

abc: 6.9384 6.9384 4.7724
angles: 106.51 106.51 82.43
Sites, in units of the cell vectors:
Zn: 0.1954 0.1954 0.3629
Zn: 0.8046 0.8046 0.6371
Ag: 0.2541 0.7459 0.0000
Ag: 0.5000 0.5000 0.5000
Ag: 0.7459 0.2541 0.0000
Pd: 0.0718 0.0718 0.7965
Pd: 0.0813 0.5619 0.3171
Pd: 0.3439 0.3439 0.9087
Pd: 0.4381 0.9187 0.6829
Pd: 0.5619 0.0813 0.3171
Pd: 0.6561 0.6561 0.0913
Pd: 0.9187 0.4381 0.6829
Pd: 0.9282 0.9282 0.2035

(4)
The following is a DFT calculation (PBE) of a relaxed structure of Zn6Ag2Pd.

E above lowest polymorph: 0.0206 eV/atom
uncorrected energy: -2.1504 eV/atom
SG: Cmmm (65)

abc: 7.7496 7.7496 2.8234
angles: 90.00 90.00 122.17
Sites, in units of the cell vectors:
Zn: 0.0157 0.3406 0.0000
Zn: 0.3138 0.3138 0.5000
Zn: 0.3406 0.0157 0.0000
Zn: 0.6594 0.9843 0.0000
Zn: 0.6862 0.6862 0.5000
Zn: 0.9843 0.6594 0.0000
Ag: 0.3199 0.6801 0.5000
Ag: 0.6801 0.3199 0.5000
Pd: 0.0000 0.0000 0.0000

(5)
The following is a DFT calculation (PBE) of a relaxed structure of Zn2Ag5Pd12.

uncorrected energy: -4.2144 eV/atom
SG: C2/m (12)

abc: 7.3692 7.3692 6.5131
angles: 91.35 91.35 61.44
Sites, in units of the cell vectors:
Zn: 0.1981 0.8019 0.0000
Zn: 0.8019 0.1981 0.0000
Ag: 0.1972 0.1972 0.9963
Ag: 0.2627 0.2627 0.4187
Ag: 0.5000 0.5000 0.5000
Ag: 0.7373 0.7373 0.5813
Ag: 0.8028 0.8028 0.0037
Pd: 0.0520 0.0520 0.3167
Pd: 0.0768 0.6786 0.3385
Pd: 0.1614 0.5336 0.7544
Pd: 0.3214 0.9232 0.6615
Pd: 0.4104 0.4104 0.1051
Pd: 0.4664 0.8386 0.2456
Pd: 0.5336 0.1614 0.7544
Pd: 0.5896 0.5896 0.8949
Pd: 0.6786 0.0768 0.3385
Pd: 0.8386 0.4664 0.2456
Pd: 0.9232 0.3214 0.6615
Pd: 0.9480 0.9480 0.6833

(6)
The following is a DFT calculation (PBE) of a relaxed structure of Zn2AgPd.

uncorrected energy: -2.9350 eV/atom
SG: P2/m (10)

abc: 4.5372 2.9313 9.2296
angles: 90.00 93.88 90.00
Sites, in units of the cell vectors:
Zn: 0.2301 0.0000 0.3505
Zn: 0.2336 0.0000 0.8754
Zn: 0.7664 0.0000 0.1246
Zn: 0.7699 0.0000 0.6495
Ag: 0.2668 0.5000 0.6125
Ag: 0.7332 0.5000 0.3875
Pd: 0.2676 0.5000 0.1153
Pd: 0.7324 0.5000 0.8847

(7)
The following is a DFT calculation (PBE) of a relaxed structure of Zn7AgPd3.

uncorrected energy: -2.7879 eV/atom
SG: Cmcm (63)

abc: 11.1384 11.1384 10.8702
angles: 90.00 90.00 165.39
Sites, in units of the cell vectors:
Zn: 0.0114 0.9886 0.6178
Zn: 0.0114 0.9886 0.8822
Zn: 0.0957 0.9043 0.2500
Zn: 0.1679 0.8321 0.5839
Zn: 0.1679 0.8321 0.9161
Zn: 0.3011 0.6989 0.6172
Zn: 0.3011 0.6989 0.8828
Zn: 0.6989 0.3011 0.1172
Zn: 0.6989 0.3011 0.3828
Zn: 0.8321 0.1679 0.0839
Zn: 0.8321 0.1679 0.4161
Zn: 0.9043 0.0957 0.7500
Zn: 0.9886 0.0114 0.1178
Zn: 0.9886 0.0114 0.3822
Ag: 0.4059 0.5941 0.2500
Ag: 0.5941 0.4059 0.7500
Pd: 0.2735 0.7265 0.2500
Pd: 0.4145 0.5855 0.5419
Pd: 0.4145 0.5855 0.9581
Pd: 0.5855 0.4145 0.0419
Pd: 0.5855 0.4145 0.4581
Pd: 0.7265 0.2735 0.7500

(8)
The following is a DFT calculation (PBE) of a relaxed structure of Zn4AgPd2.

uncorrected energy: -2.6211 eV/atom
SG: I4/mmm (139)

abc: 6.1703 6.1703 6.1703
angles: 133.86 133.86 67.31
Sites, in units of the cell vectors:
Zn: 0.0000 0.5000 0.5000
Zn: 0.2500 0.7500 0.5000
Zn: 0.5000 0.0000 0.5000
Zn: 0.7500 0.2500 0.5000
Ag: 0.0000 0.0000 0.0000
Pd: 0.3642 0.3642 0.0000
Pd: 0.6358 0.6358 0.0000

(9)
The following is a DFT calculation (PBE) of a relaxed structure of ZnAg2Pd4.

E above lowest polymorph: 0.1984 eV/atom
uncorrected energy: -3.7528 eV/atom
SG: Cmmm (65)

abc: 6.0922 6.0922 4.6075
angles: 90.00 90.00 127.87
Sites, in units of the cell vectors:
Zn: 0.0000 0.0000 0.0000
Ag: 0.3757 0.6243 0.5000
Ag: 0.6243 0.3757 0.5000
Pd: 0.1200 0.8800 0.5000
Pd: 0.2377 0.7623 0.0000
Pd: 0.7623 0.2377 0.0000
Pd: 0.8800 0.1200 0.5000

(10)
The following is a DFT calculation (PBE) of a relaxed structure of ZnAg2Pd8.

E above lowest polymorph: 0.1465 eV/atom
uncorrected energy: -4.1995 eV/atom
SG: C2/m (12)

abc: 6.7346 6.7346 5.0095
angles: 106.42 106.42 74.94
Sites, in units of the cell vectors:
Zn: 0.0000 0.0000 0.0000
Ag: 0.1518 0.1518 0.6243
Ag: 0.8482 0.8482 0.3757
Pd: 0.1320 0.6048 0.9668
Pd: 0.2720 0.2720 0.2230
Pd: 0.3952 0.8680 0.0332
Pd: 0.4590 0.4590 0.7166
Pd: 0.5410 0.5410 0.2834
Pd: 0.6048 0.1320 0.9668
Pd: 0.7280 0.7280 0.7770
Pd: 0.8680 0.3952 0.0332

(11)
The following is a DFT calculation (PBE) of a relaxed structure of ZnAg2Pd2.

E above lowest polymorph: 0.3828 eV/atom
uncorrected energy: -3.3635 eV/atom
SG: P4/mbm (127)

abc: 7.3735 7.3735 3.2413
angles: 90.00 90.00 90.00
Sites, in units of the cell vectors:
Zn: 0.0000 0.0000 0.0000
Zn: 0.5000 0.5000 0.0000
Ag: 0.1385 0.3615 0.0000
Ag: 0.3615 0.8615 0.0000
Ag: 0.6385 0.1385 0.0000
Ag: 0.8615 0.6385 0.0000
Pd: 0.1597 0.6597 0.5000
Pd: 0.3403 0.1597 0.5000
Pd: 0.6597 0.8403 0.5000
Pd: 0.8403 0.3403 0.5000

(12)
The following is a DFT calculation (PBE) of a relaxed structure of ZnAgPd.

E above lowest polymorph: 0.0000 eV/atom
uncorrected energy: -3.3671 eV/atom
SG: I4mm (107)

abc: 5.6943 5.6943 5.6943
angles: 149.60 149.60 43.53
Sites, in units of the cell vectors:
Zn: 0.0000 0.0000 0.0000
Ag: 0.6700 0.6700 0.0000
Pd: 0.3560 0.3560 0.0000

(13)
The following is a DFT calculation (PBE) of a relaxed structure of Zn2AgPd.

uncorrected energy: -2.7609 eV/atom
SG: R3m (160)

abc: 5.3018 5.3018 5.3018
angles: 45.90 45.90 45.90
Sites, in units of the cell vectors:
Zn: 0.0000 0.0000 0.0000
Zn: 0.1979 0.1979 0.1979
Ag: 0.7802 0.7802 0.7802
Pd: 0.5839 0.5839 0.5839

(14)
The following is a DFT calculation (PBE) of a relaxed structure of ZnAg2Pd5.

uncorrected energy: -4.2636 eV/atom
SG: C2/m (12)

abc: 5.5920 5.5920 5.5691
angles: 118.41 118.41 92.89
Sites, in units of the cell vectors:
Zn: 0.0000 0.0000 0.0000
Ag: 0.0000 0.5000 0.5000
Ag: 0.5000 0.0000 0.5000
Pd: 0.0000 0.0000 0.5000
Pd: 0.0000 0.5000 0.0000
Pd: 0.5000 0.0000 0.0000
Pd: 0.5000 0.5000 0.0000
Pd: 0.5000 0.5000 0.5000

(15)
The following is a DFT calculation (PBE) of a relaxed structure of Zn7Ag3Pd2.

uncorrected energy: -2.4421 eV/atom
SG: P2/m (10)

abc: 4.4767 2.8575 15.1700
angles: 90.00 92.84 90.00
Sites, in units of the cell vectors:
Zn: 0.0000 0.0000 0.0000
Zn: 0.2004 0.5000 0.2052
Zn: 0.2569 0.5000 0.5434
Zn: 0.3148 0.0000 0.8529
Zn: 0.6852 0.0000 0.1471
Zn: 0.7431 0.5000 0.4566
Zn: 0.7996 0.5000 0.7948
Ag: 0.2316 0.0000 0.3799
Ag: 0.5000 0.5000 0.0000
Ag: 0.7684 0.0000 0.6201
Pd: 0.2830 0.5000 0.7104
Pd: 0.7170 0.5000 0.2896

(16)
The following is a DFT calculation (PBE) of a relaxed structure of Zn2AgPd6.

E above lowest polymorph: 0.0064 eV/atom
uncorrected energy: -4.3334 eV/atom
SG: Fmmm (69)

abc: 8.2041 6.5072 5.7829
angles: 83.53 52.01 44.46
Sites, in units of the cell vectors:
Zn: 0.1616 0.1616 0.8384
Zn: 0.8384 0.8384 0.1616
Ag: 0.5000 0.5000 0.5000
Pd: 0.1667 0.8333 0.1667
Pd: 0.1700 0.4868 0.5132
Pd: 0.4868 0.1700 0.8300
Pd: 0.5132 0.8300 0.1700
Pd: 0.8300 0.5132 0.4868
Pd: 0.8333 0.1667 0.8333

(17)
The following is a DFT calculation (PBE) of a relaxed structure of Zn9AgPd2.

uncorrected energy: -2.2806 eV/atom
SG: P4/mmm (123)

abc: 3.9631 3.9631 11.2924
angles: 90.00 90.00 90.00
Sites, in units of the cell vectors:
Zn: 0.0000 0.0000 0.0000
Zn: 0.0000 0.0000 0.3356
Zn: 0.0000 0.0000 0.6644
Zn: 0.0000 0.5000 0.1729
Zn: 0.0000 0.5000 0.5000
Zn: 0.0000 0.5000 0.8271
Zn: 0.5000 0.0000 0.1729
Zn: 0.5000 0.0000 0.5000
Zn: 0.5000 0.0000 0.8271
Ag: 0.5000 0.5000 0.0000
Pd: 0.5000 0.5000 0.3369
Pd: 0.5000 0.5000 0.6631

(18)
The following is a DFT calculation (PBE) of a relaxed structure of Zn6AgPd5.

uncorrected energy: -3.4954 eV/atom
SG: Cmmm (65)

abc: 6.9584 6.9584 6.0730
angles: 90.00 90.00 143.09
Sites, in units of the cell vectors:
Zn: 0.0000 0.0000 0.2425
Zn: 0.0000 0.0000 0.7575
Zn: 0.3295 0.6705 0.2474
Zn: 0.3295 0.6705 0.7526
Zn: 0.6705 0.3295 0.2474
Zn: 0.6705 0.3295 0.7526
Ag: 0.5000 0.5000 0.5000
Pd: 0.1637 0.8363 0.5000
Pd: 0.1650 0.8350 0.0000
Pd: 0.5000 0.5000 0.0000
Pd: 0.8350 0.1650 0.0000
Pd: 0.8363 0.1637 0.5000

(19)
The following is a DFT calculation (PBE) of a relaxed structure of Zn7AgPd4.

uncorrected energy: -2.9039 eV/atom
SG: C2/m (12)

abc: 5.4801 5.4801 9.5144
angles: 117.60 117.60 51.39
Sites, in units of the cell vectors:
Zn: 0.0000 0.0000 0.0000
Zn: 0.1599 0.1599 0.6255
Zn: 0.2038 0.2038 0.9130
Zn: 0.3841 0.3841 0.5429
Zn: 0.6159 0.6159 0.4571
Zn: 0.7962 0.7962 0.0870
Zn: 0.8401 0.8401 0.3745
Ag: 0.5000 0.5000 0.0000
Pd: 0.0866 0.0866 0.3158
Pd: 0.3255 0.3255 0.2260
Pd: 0.6745 0.6745 0.7740
Pd: 0.9134 0.9134 0.6842

(20)
The following is a DFT calculation (PBE) of a relaxed structure of ZnAg3Pd6.

E above lowest polymorph: 0.0935 eV/atom
uncorrected energy: -4.1181 eV/atom
SG: Cmc2_1 (36)

abc: 8.7354 8.7354 4.9338
angles: 90.00 90.00 119.14
Sites, in units of the cell vectors:
Zn: 0.2196 0.7804 0.5000
Zn: 0.7804 0.2196 0.0000
Ag: 0.0604 0.2644 0.6976
Ag: 0.2644 0.0604 0.1976
Ag: 0.3928 0.6072 0.5844
Ag: 0.6072 0.3928 0.0844
Ag: 0.7356 0.9396 0.6976
Ag: 0.9396 0.7356 0.1976
Pd: 0.0257 0.4491 0.2793
Pd: 0.0626 0.9374 0.7054
Pd: 0.2893 0.3892 0.1291
Pd: 0.2890 0.7110 0.0258
Pd: 0.3892 0.2893 0.6291
Pd: 0.4491 0.0257 0.7793
Pd: 0.5509 0.9743 0.2793
Pd: 0.6108 0.7107 0.1291
Pd: 0.7110 0.2890 0.5258
Pd: 0.7107 0.6108 0.6291
Pd: 0.9374 0.0626 0.2054
Pd: 0.9743 0.5509 0.7793